Crystalline PrNd3DyHo at its relaxed geometry, computed with PBE-GGA.

Output
Uncorrected energy: -54.271 eV/cell
Total magnetic moment: 0.00 μB per cell
Fermi-level density of states: 1.4206 states/eV per atom
Crystal system: triclinic

The structure in CIF format:
```
data_PrNd3DyHo
_chemical_formula_sum 'Pr2 Nd6 Dy2 Ho2'
_space_group_name_H-M_alt 'P -1'
_space_group_IT_number 2
_space_group_name_Hall '-P 1'
_cell_length_a 5.8356
_cell_length_b 6.8482
_cell_length_c 10.7338
_cell_angle_alpha 89.30
_cell_angle_beta 74.33
_cell_angle_gamma 89.97
loop_
_atom_site_label
_atom_site_type_symbol
_atom_site_fract_x
_atom_site_fract_y
_atom_site_fract_z
_atom_site_occupancy
Pr1 Pr 0.1474 0.0246 0.2077 1
Nd1 Nd 0.0165 0.7480 0.4641 1
Nd2 Nd 0.2798 0.7370 0.9396 1
Nd3 Nd 0.3404 0.2516 0.8179 1
Dy1 Dy 0.1442 0.4746 0.2137 1
Ho1 Ho 0.4400 0.7341 0.6173 1
```



Crystalline Pr2Nd6DyHo at its relaxed geometry, computed with PBE-GGA.

Output
Uncorrected energy: -184.829 eV/cell
Total magnetic moment: 0.00 μB per cell
Fermi-level density of states: 1.4922 states/eV per atom
Crystal system: monoclinic

The structure in CIF format:
```
data_Pr2Nd6DyHo
_chemical_formula_sum 'Pr8 Nd24 Dy4 Ho4'
_space_group_name_H-M_alt 'C 1 2/c 1'
_space_group_IT_number 15
_space_group_name_Hall '-C 2yc'
_cell_length_a 9.2422
_cell_length_b 15.4172
_cell_length_c 9.9268
_cell_angle_alpha 90.00
_cell_angle_beta 98.90
_cell_angle_gamma 90.00
loop_
_atom_site_label
_atom_site_type_symbol
_atom_site_fract_x
_atom_site_fract_y
_atom_site_fract_z
_atom_site_occupancy
Pr1 Pr 0.2440 0.0502 0.0420 1
Nd1 Nd 0.0637 0.1860 0.4445 1
Nd2 Nd 0.1033 0.3962 0.6196 1
Nd3 Nd 0.2042 0.2206 0.8101 1
Dy1 Dy 0.0000 0.0186 0.7500 1
Ho1 Ho 0.0000 0.4077 0.2500 1
```



Crystalline Pr3Nd6Dy2Ho at its relaxed geometry, computed with PBE-GGA.

Output
Uncorrected energy: -113.070 eV/cell
Total magnetic moment: 0.00 μB per cell
Fermi-level density of states: 1.4256 states/eV per atom
Crystal system: monoclinic

The structure in CIF format:
```
data_Pr3Nd6Dy2Ho
_chemical_formula_sum 'Pr6 Nd12 Dy4 Ho2'
_space_group_name_H-M_alt 'C 1 2/m 1'
_space_group_IT_number 12
_space_group_name_Hall '-C 2y'
_cell_length_a 6.3390
_cell_length_b 10.9836
_cell_length_c 12.0790
_cell_angle_alpha 90.00
_cell_angle_beta 100.09
_cell_angle_gamma 90.00
loop_
_atom_site_label
_atom_site_type_symbol
_atom_site_fract_x
_atom_site_fract_y
_atom_site_fract_z
_atom_site_occupancy
Pr1 Pr 0.0000 0.0000 0.0000 1
Pr2 Pr 0.0000 0.3333 0.0000 1
Nd1 Nd 0.2490 0.0000 0.7450 1
Nd2 Nd 0.2487 0.3334 0.7448 1
Dy1 Dy 0.0000 0.1666 0.5000 1
Ho1 Ho 0.0000 0.5000 0.5000 1
```



Crystalline Pr2NdDyHo4 at its relaxed geometry, computed with PBE-GGA.

Output
Uncorrected energy: -135.869 eV/cell
Total magnetic moment: 0.20 μB per cell
Fermi-level density of states: 2.5036 states/eV per atom
Crystal system: orthorhombic

The structure in CIF format:
```
data_Pr2NdDyHo4
_chemical_formula_sum 'Pr8 Nd4 Dy4 Ho16'
_space_group_name_H-M_alt 'I m m a'
_space_group_IT_number 74
_space_group_name_Hall '-I 2b 2'
_cell_length_a 6.8219
_cell_length_b 11.9011
_cell_length_c 13.2667
_cell_angle_alpha 90.00
_cell_angle_beta 90.00
_cell_angle_gamma 90.00
loop_
_atom_site_label
_atom_site_type_symbol
_atom_site_fract_x
_atom_site_fract_y
_atom_site_fract_z
_atom_site_occupancy
Pr1 Pr 0.0000 0.0000 0.0000 1
Pr2 Pr 0.2500 0.2500 0.2500 1
Nd1 Nd 0.0000 0.0000 0.5000 1
Dy1 Dy 0.2500 0.2500 0.7500 1
Ho1 Ho 0.0000 0.0049 0.7499 1
Ho2 Ho 0.2498 0.2500 0.5051 1
```



Crystalline PrNdDyHo3 at its relaxed geometry, computed with PBE-GGA.

Output
Uncorrected energy: -107.008 eV/cell
Total magnetic moment: 0.00 μB per cell
Fermi-level density of states: 1.6033 states/eV per atom
Crystal system: monoclinic

The structure in CIF format:
```
data_PrNdDyHo3
_chemical_formula_sum 'Pr4 Nd4 Dy4 Ho12'
_space_group_name_H-M_alt 'C 1 2/m 1'
_space_group_IT_number 12
_space_group_name_Hall '-C 2y'
_cell_length_a 19.7968
_cell_length_b 5.6448
_cell_length_c 7.0857
_cell_angle_alpha 90.00
_cell_angle_beta 90.19
_cell_angle_gamma 90.00
loop_
_atom_site_label
_atom_site_type_symbol
_atom_site_fract_x
_atom_site_fract_y
_atom_site_fract_z
_atom_site_occupancy
Pr1 Pr 0.1466 0.0000 0.0319 1
Nd1 Nd 0.0532 0.5000 0.2615 1
Dy1 Dy 0.1499 0.0000 0.4595 1
Ho1 Ho 0.0232 0.0000 0.7409 1
Ho2 Ho 0.1661 0.5000 0.7362 1
Ho3 Ho 0.2206 0.5000 0.2467 1
```



Crystalline Pr6Nd2DyHo at its relaxed geometry, computed with PBE-GGA.

Output
Uncorrected energy: -185.061 eV/cell
Total magnetic moment: 0.00 μB per cell
Fermi-level density of states: 1.4943 states/eV per atom
Crystal system: monoclinic

The structure in CIF format:
```
data_Pr6Nd2DyHo
_chemical_formula_sum 'Pr24 Nd8 Dy4 Ho4'
_space_group_name_H-M_alt 'C 1 2/c 1'
_space_group_IT_number 15
_space_group_name_Hall '-C 2yc'
_cell_length_a 9.3057
_cell_length_b 15.4988
_cell_length_c 9.9038
_cell_angle_alpha 90.00
_cell_angle_beta 98.60
_cell_angle_gamma 90.00
loop_
_atom_site_label
_atom_site_type_symbol
_atom_site_fract_x
_atom_site_fract_y
_atom_site_fract_z
_atom_site_occupancy
Pr1 Pr 0.0626 0.1825 0.4458 1
Pr2 Pr 0.1023 0.3958 0.6185 1
Pr3 Pr 0.2075 0.2205 0.8096 1
Nd1 Nd 0.2447 0.0495 0.0433 1
Dy1 Dy 0.0000 0.0211 0.7500 1
Ho1 Ho 0.0000 0.4087 0.2500 1
```



DFT formation energy / meV/atom: 188; 114; 16; 409; 188; 113